No. 1
First-principles (PBE) data for KGa4 after structural relaxation, as listed in Alexandria.

The calculation puts the total magnetic moment at 0.000 μB per atom. The calculation puts the formation enthalpy at 0 K at 1.08 eV per atom.

It has space group Pm-3m (No. 221), with a = 5.7516 Å, b = 5.7516 Å, c = 5.7516 Å, α = 90.00°, β = 90.00° and γ = 90.00°. The asymmetric unit holds K at (0.0000, 0.0000, 0.0000), Ga at (0.0000, 0.0000, 0.5000) and Ga at (0.5000, 0.5000, 0.5000).

=====

No. 2
First-principles (PBE) data for LiDyYPd after structural relaxation, as listed in Alexandria.

The calculation puts the total magnetic moment at 0.000 μB per atom. The calculation puts the formation enthalpy at 0 K at -0.41 eV per atom.

It has space group F-43m (No. 216), with a = 7.1215 Å, b = 7.1215 Å, c = 7.1215 Å, α = 90.00°, β = 90.00° and γ = 90.00°. The asymmetric unit holds Li at (0.0000, 0.0000, 0.0000), Dy at (0.2500, 0.2500, 0.2500), Y at (0.2500, 0.2500, 0.7500) and Pd at (0.0000, 0.0000, 0.5000).

=====

No. 3
First-principles (PBE) data for Na3Tl4SnBr8 after structural relaxation, as listed in Alexandria.

The calculation puts the total magnetic moment at 0.000 μB per atom. The total energy is -2.922 eV per atom.

It has space group R-3m (No. 166, hexagonal axes), with a = 8.6837 Å, b = 8.6837 Å, c = 24.3127 Å, α = 90.00°, β = 90.00° and γ = 120.00°. The asymmetric unit holds Na at (0.0000, 0.5000, 0.0000), Tl at (0.0000, 0.0000, 0.5000), Tl at (0.0000, 0.5000, 0.5000), Sn at (0.0000, 0.0000, 0.0000), Br at (0.0000, 0.0000, 0.2616) and Br at (0.0016, 0.5008, 0.7373).

=====

No. 4
First-principles (PBE) data for Na4IO after structural relaxation, as listed in Alexandria.

The calculation puts the total magnetic moment at 0.000 μB per atom. The total energy is -2.885 eV per atom.

It has space group C2/m (No. 12), with a = 17.1368 Å, b = 6.6786 Å, c = 6.4571 Å, α = 90.00°, β = 98.81° and γ = 90.00°. The asymmetric unit holds Na at (0.0000, 0.2055, 0.0000), Na at (0.0944, 0.2391, 0.4728), Na at (0.1937, 0.0000, 0.1580), I at (0.2436, 0.5000, 0.2708) and O at (0.0732, 0.0000, 0.2334).